No. 1
Material: AlFe2Tc
Method: DFT, PBE
State: relaxed

Cell: 2.6840 2.6840 24.9175 Å, 90.00 90.00 120.00°
Space group R3m (No. 160, hexagonal axes)
Inequivalent atoms, fractional coordinates:
Al 0.0000 0.0000 0.0000 x3
Fe 0.0000 0.0000 0.4954 x3
Fe 0.0000 0.0000 0.7484 x3
Tc 0.0000 0.0000 0.2434 x3

Results
- VASP energy: -7.734 eV per atom
- V: 155 Å³ per cell
- Magnetization: 3.46 μB/f.u.
- Theoretical density: 7.584 g/cm3



No. 2
Material: AlFeTc2
Method: DFT, PBE
State: relaxed

Cell: 2.7385 2.7385 25.7540 Å, 90.00 90.00 120.00°
Space group R3m (No. 160, hexagonal axes)
Inequivalent atoms, fractional coordinates:
Al 0.0000 0.0000 0.0000 x3
Fe 0.0000 0.0000 0.7459 x3
Tc 0.0000 0.0000 0.2464 x3
Tc 0.0000 0.0000 0.4974 x3

Results
- VASP energy: -8.286 eV per atom
- V: 167 Å³ per cell
- Magnetization: 2.13 μB/f.u.
- Theoretical density: 8.305 g/cm3



No. 3
Material: AlFeTc2
Method: DFT, PBE
State: relaxed

Cell: 2.7486 3.8407 5.2454 Å, 90.00 90.00 90.00°
Space group Pmm2 (No. 25)
Inequivalent atoms, fractional coordinates:
Al 0.0000 0.0000 0.0000 x1
Fe 0.5000 0.5000 0.2276 x1
Tc 0.0000 0.0000 0.4938 x1
Tc 0.5000 0.5000 0.7332 x1

Results
- VASP energy: -8.310 eV per atom
- V: 55 Å³ per cell
- Magnetization: 2.13 μB/f.u.
- Theoretical density: 8.361 g/cm3



No. 4
Material: AlFeTc2
Method: DFT, PBE
State: relaxed

Cell: 6.9637 6.9637 4.9394 Å, 90.00 90.00 90.00°
Space group I-42d (No. 122)
Inequivalent atoms, fractional coordinates:
Al 0.0000 0.0000 0.0000 x4
Fe 0.0000 0.0000 0.5000 x4
Tc 0.1995 0.2500 0.6250 x8

Results
- VASP energy: -7.799 eV per atom
- V: 240 Å³ per cell
- Magnetization: 0.00 μB/f.u.
- Theoretical density: 7.732 g/cm3